Tb2NpCdO8: optimized geometry, GGA-PBE.

SG	P-1
size of the total moment	0.66	μB per cell
theoretical density	8.36	Mg/m³
crystal system	triclinic
formation energy from raw total energies	-2528.5	meV/atom

Lattice parameters (Å, degrees): 3.9085 5.2508 7.7255 89.86 89.97 85.34
With the nearest neighbours (Å) after each atom.
Fractional positions:
1 Tb 0.0003 0.0008 0.2531  8 O 2.33-2.40
2 Tb 0.9997 0.9992 0.7469  8 O 2.33-2.40
3 Np 0.5000 0.5000 0.5000  6 O 2.07-2.09
4 Cd 0.5000 0.5000 0.0000  2 O 2.24
5 O 0.0144 0.7595 0.0006  1 Cd 2.24, 2 Tb 2.33
6 O 0.0391 0.7318 0.5003  1 Np 2.09
7 O 0.4691 0.2580 0.7100  1 Np 2.07
8 O 0.4696 0.2595 0.2888  1 Np 2.08
9 O 0.5304 0.7405 0.7112  1 Np 2.08
10 O 0.5309 0.7420 0.2900  1 Np 2.07
11 O 0.9609 0.2682 0.4997  1 Np 2.09
12 O 0.9856 0.2405 0.9994  1 Cd 2.24, 2 Tb 2.33

---

K2CdPtBr6: optimized geometry, GGA-PBE.

SG	R-3m
size of the total moment	1.78	μB per cell
theoretical density	4.38	Mg/m³
crystal system	trigonal
formation energy from raw total energies	-896.1	meV/atom

Lattice parameters (Å, degrees): 13.9883 13.9883 13.9883 31.32 31.32 31.32
With the nearest neighbours (Å) after each atom.
Fractional positions:
1 K 0.1161 0.1161 0.1161  9 Br 3.75-3.80
2 K 0.3048 0.3048 0.3048  9 Br 3.49-3.80
3 K 0.6952 0.6952 0.6952  9 Br 3.49-3.80
4 K 0.8839 0.8839 0.8839  9 Br 3.75-3.80
5 Cd 0.4157 0.4157 0.4157  6 Br 2.80-2.82
6 Cd 0.5843 0.5843 0.5843  6 Br 2.80-2.82
7 Pt 0.0000 0.0000 0.0000  6 Br 2.64
8 Pt 0.5000 0.5000 0.5000  6 Br 2.67
9 Br 0.1312 0.6250 0.6250  1 Pt 2.67, 1 Cd 2.80
10 Br 0.2020 0.2020 0.7126  1 Pt 2.64, 1 Cd 2.82
11 Br 0.2020 0.7126 0.2020  1 Pt 2.64, 1 Cd 2.82
12 Br 0.2874 0.7980 0.7980  1 Pt 2.64, 1 Cd 2.82
13 Br 0.3750 0.3750 0.8688  1 Pt 2.67, 1 Cd 2.80
14 Br 0.3750 0.8688 0.3750  1 Pt 2.67, 1 Cd 2.80
15 Br 0.6250 0.1312 0.6250  1 Pt 2.67, 1 Cd 2.80
16 Br 0.6250 0.6250 0.1312  1 Pt 2.67, 1 Cd 2.80
17 Br 0.7126 0.2020 0.2020  1 Pt 2.64, 1 Cd 2.82
18 Br 0.7980 0.2874 0.7980  1 Pt 2.64, 1 Cd 2.82
19 Br 0.7980 0.7980 0.2874  1 Pt 2.64, 1 Cd 2.82
20 Br 0.8688 0.3750 0.3750  1 Pt 2.67, 1 Cd 2.80